1.
Density functional theory data (GGA-PBE) for a geometry-optimized Tl3Au2 structure.

Cell lengths 12.7417, 10.8024, 7.1968 Å; angles 87.74, 57.90, 34.36 degrees
Fractional coordinates of all 10 atoms:
Tl 0.3376 0.1624 0.1624
Au 0.8555 0.7207 0.0348
Tl 0.8084 0.9092 0.4230
Au 0.3890 0.0348 0.7207
Tl 0.8594 0.4230 0.9092
Tl 0.8270 0.3906 0.4416
Au 0.2152 0.8610 0.3945
Tl 0.0876 0.9124 0.9124
Au 0.5293 0.3945 0.8610
Tl 0.3408 0.4416 0.3906

Results
Volume ... 26.1 Å³/atom
Uncorrected energy ... -2.71 eV per atom
Crystal system ... orthorhombic

---

2.
Density functional theory data (GGA-PBE) for a geometry-optimized Er6GaCo structure.

Cell lengths 6.5019, 6.5019, 6.4972 Å; angles 101.41, 101.41, 117.79 degrees
Fractional coordinates of all 8 atoms:
Ga 0.0000 0.0000 0.0000
Er 0.5358 0.9085 0.7433
Er 0.2659 0.2659 0.7294
Er 0.0915 0.4642 0.2567
Er 0.9085 0.5358 0.7433
Er 0.4642 0.0915 0.2567
Co 0.5000 0.5000 0.5000
Er 0.7341 0.7341 0.2706

Results
Volume ... 28.1 Å³/atom
Uncorrected energy ... -4.74 eV per atom
Crystal system ... monoclinic

---

3.
Density functional theory data (GGA-PBE) for a geometry-optimized LaCdAgOs2 structure.

Cell lengths 4.9408, 5.4928, 4.9408 Å; angles 90.00, 90.00, 90.00 degrees
Fractional coordinates of all 5 atoms:
Ag 0.5000 0.5000 0.5000
La 0.0000 0.5000 0.0000
Os 0.5000 0.0000 0.0000
Os 0.0000 0.0000 0.5000
Cd 0.0000 0.0000 0.0000

Results
Volume ... 26.8 Å³/atom
Uncorrected energy ... -4.30 eV per atom
Crystal system ... tetragonal

---

4.
Density functional theory data (GGA-PBE) for a geometry-optimized YbS structure.

Cell lengths 3.9666, 3.9666, 3.9666 Å; angles 60.00, 60.00, 60.00 degrees
Fractional coordinates of all 2 atoms:
Yb 0.5000 0.5000 0.5000
S 0.0000 0.0000 0.0000

Results
Energy relative to the elements, uncorrected ... -2.1588 eV/atom
Volume ... 22.1 Å³/atom
Crystal system ... cubic

---

5.
Density functional theory data (GGA-PBE) for a geometry-optimized Sr2LiRe structure.

Cell lengths 11.1516, 11.1516, 11.1516 Å; angles 18.17, 18.17, 18.17 degrees
Fractional coordinates of all 4 atoms:
Sr 0.0126 0.0126 0.0126
Re 0.7500 0.7500 0.7500
Li 0.2500 0.2500 0.2500
Sr 0.4874 0.4874 0.4874

Results
Volume ... 29.4 Å³/atom
Uncorrected energy ... -3.49 eV per atom
Crystal system ... trigonal

---

6.
Density functional theory data (GGA-PBE) for a geometry-optimized AcTiN2 structure.

Cell lengths 5.8242, 5.8242, 6.9329 Å; angles 90.00, 90.00, 120.00 degrees
Fractional coordinates of all 12 atoms:
N 0.6666 0.5292 0.3083
Ti 0.0000 0.6070 0.1667
N 0.4708 0.1373 0.6416
Ti 0.3930 0.3930 0.5000
Ac 0.6595 0.0000 0.3333
N 0.1373 0.4708 0.3584
N 0.5292 0.6666 0.6917
Ac 0.0000 0.6595 0.6667
Ti 0.6070 0.0000 0.8333
Ac 0.3405 0.3405 0.0000
N 0.3334 0.8627 0.0250
N 0.8627 0.3334 0.9750

Results
Energy relative to the elements, uncorrected ... -1.3689 eV/atom
Volume ... 17.0 Å³/atom
Crystal system ... trigonal

---

7.
Density functional theory data (GGA-PBE) for a geometry-optimized TbPm2Sm6Er3 structure.

Cell lengths 6.2341, 6.2341, 11.8855 Å; angles 95.00, 95.00, 119.99 degrees
Fractional coordinates of all 12 atoms:
Sm 0.5827 0.9155 0.7467
Pm 0.3333 0.6667 0.0000
Er 0.8335 0.1665 0.5000
Sm 0.9155 0.5827 0.7467
Sm 0.0845 0.4173 0.2533
Sm 0.2484 0.2484 0.7466
Er 0.1665 0.8335 0.5000
Sm 0.7516 0.7516 0.2534
Sm 0.4173 0.0845 0.2533
Pm 0.6667 0.3333 0.0000
Er 0.5000 0.5000 0.5000
Tb 0.0000 0.0000 0.0000

Results
Volume ... 32.8 Å³/atom
Uncorrected energy ... -4.66 eV per atom
Crystal system ... monoclinic

---

8.
Density functional theory data (GGA-PBE) for a geometry-optimized RbH3Ru structure.

Cell lengths 3.8315, 3.8315, 3.8315 Å; angles 90.00, 90.00, 90.00 degrees
Fractional coordinates of all 5 atoms:
H 0.0000 0.0000 0.5000
H 0.5000 0.0000 0.0000
Ru 0.0000 0.0000 0.0000
H 0.0000 0.5000 0.0000
Rb 0.5000 0.5000 0.5000

Results
Volume ... 11.2 Å³/atom
Uncorrected energy ... -3.81 eV per atom
Crystal system ... cubic

---

9.
Density functional theory data (GGA-PBE) for a geometry-optimized SmTmGa6 structure.

Cell lengths 4.5987, 6.2813, 6.2813 Å; angles 119.97, 90.00, 90.00 degrees
Fractional coordinates of all 8 atoms:
Tm 0.0000 0.0834 0.9166
Ga 0.0000 0.0401 0.3950
Ga 0.0000 0.6050 0.9599
Ga 0.5000 0.8983 0.5469
Ga 0.5000 0.4531 0.1017
Ga 0.5000 0.8986 0.1014
Sm 0.5000 0.4165 0.5835
Ga 0.0000 0.6047 0.3953

Results
Volume ... 19.6 Å³/atom
Uncorrected energy ... -3.94 eV per atom
Crystal system ... hexagonal

---

10.
Density functional theory data (GGA-PBE) for a geometry-optimized ScCd2Rh structure.

Cell lengths 4.8199, 3.0892, 5.3665 Å; angles 73.99, 90.00, 90.00 degrees
Fractional coordinates of all 4 atoms:
Cd 0.0000 0.4100 0.4828
Sc 0.5000 0.7500 0.7500
Rh 0.5000 0.2500 0.2500
Cd 0.0000 0.0900 0.0172

Results
Volume ... 19.2 Å³/atom
Uncorrected energy ... -4.15 eV per atom
Crystal system ... monoclinic

---

11.
Density functional theory data (GGA-PBE) for a geometry-optimized TcSbCl2 structure.

Cell lengths 11.0845, 11.0845, 11.2241 Å; angles 16.28, 16.28, 18.74 degrees
Fractional coordinates of all 4 atoms:
Cl 0.4499 0.4499 0.4871
Sb 0.2500 0.2500 0.2500
Tc 0.7500 0.7500 0.7500
Cl 0.0501 0.0501 0.0129

Results
Energy relative to the elements, uncorrected ... 0.0409 eV/atom
Volume ... 25.6 Å³/atom
Crystal system ... monoclinic

---

12.
Density functional theory data (GGA-PBE) for a geometry-optimized Sm2TeC2 structure.

Cell lengths 4.2488, 7.1937, 7.5426 Å; angles 101.15, 106.36, 90.00 degrees
Fractional coordinates of all 10 atoms:
Sm 0.1649 0.8601 0.6973
C 0.8981 0.4650 0.5387
Te 0.7995 0.7500 0.0000
C 0.1019 0.5350 0.4613
Sm 0.4676 0.6399 0.3027
Te 0.2005 0.2500 0.0000
C 0.3594 0.0350 0.4613
Sm 0.5324 0.3601 0.6973
Sm 0.8351 0.1399 0.3027
C 0.6406 0.9650 0.5387

Results
Energy relative to the elements, uncorrected ... -0.7205 eV/atom
Volume ... 21.7 Å³/atom
Crystal system ... monoclinic